{
  "formula": "NaBePN2",
  "functional": "PBE-GGA",
  "state": "optimized geometry",
  "lattice": [[-2.227, 2.153, 2.026], [-3.143, -2.858, -0.418], [1.145, -1.710, 3.076]],
  "species": ["P", "Be", "N", "N", "Na"],
  "frac_coords": [[0.000, 0.500, 0.000], [0.000, 0.000, 0.000], [0.000, 0.000, 0.500], [0.500, 0.000, 0.000], [0.500, 0.500, 0.500]],
  "dft_energy_ev_per_fu": -21.33,
  "m_tot_mub_per_fu": 0.00
}